Compound: NdZn3Ni2
Source: Alexandria
Functional: GGA-PBE
Structure: optimized geometry

Cell: 5.399 5.399 8.762 Å, 72.06 72.06 60.00°
Sites, in units of the cell vectors:
Ni 0.500 0.000 0.000
Ni 0.000 0.000 0.000
Ni 0.500 0.500 0.000
Zn 0.754 0.256 0.236
Zn 0.754 0.754 0.236
Zn 0.246 0.246 0.764
Nd 0.199 0.199 0.403
Ni 0.000 0.500 0.000
Zn 0.256 0.754 0.236
Zn 0.246 0.744 0.764
Zn 0.744 0.246 0.764
Nd 0.801 0.801 0.597

Computed properties:
The value obtained for the energy of formation from the pure elements is -0.0635 eV/atom. As for the crystal system: trigonal.

=====

Compound: Nd4ZnNi2
Source: Alexandria
Functional: GGA-PBE
Structure: optimized geometry

Cell: 4.888 4.888 9.162 Å, 74.53 74.53 60.00°
Sites, in units of the cell vectors:
Nd 0.794 0.794 0.619
Zn 0.000 0.000 0.000
Nd 0.381 0.381 0.856
Ni 0.095 0.095 0.716
Ni 0.905 0.905 0.284
Nd 0.206 0.206 0.381
Nd 0.619 0.619 0.144

Computed properties:
The value obtained for the energy of formation from the pure elements is -0.1579 eV/atom. As for the crystal system: trigonal.

=====

Compound: Nd8ZnNi2
Source: Alexandria
Functional: GGA-PBE
Structure: optimized geometry

Cell: 5.237 6.862 9.538 Å, 108.81 105.94 90.00°
Sites, in units of the cell vectors:
Nd 0.679 0.008 0.359
Nd 0.033 0.787 0.066
Nd 0.803 0.654 0.607
Nd 0.594 0.478 0.188
Ni 0.171 0.729 0.341
Nd 0.321 0.992 0.641
Nd 0.967 0.213 0.934
Nd 0.406 0.522 0.812
Ni 0.829 0.271 0.659
Zn 0.500 0.000 0.000
Nd 0.197 0.346 0.393

Computed properties:
For the energy above the most stable polymorph in this dataset, the calculation gives 0.00 kJ per mole of atoms. The value obtained for the energy of formation from the pure elements is -0.1454 eV/atom. As for the crystal system: monoclinic.

=====

Compound: NdZnNi
Source: Alexandria
Functional: GGA-PBE
Structure: optimized geometry

Cell: 3.360 3.360 5.614 Å, 107.41 107.41 90.00°
Sites, in units of the cell vectors:
Ni 0.255 0.255 0.509
Zn 0.653 0.653 0.305
Nd 0.943 0.943 0.886

Computed properties:
The value obtained for the energy of formation from the pure elements is -0.1925 eV/atom. As for the crystal system: tetragonal.